First-principles (PBE-GGA) data for a relaxed Al3Tl5 crystal, as listed in Alexandria via LeMat-Bulk.

Unit cell a=8.7963 b=8.7963 c=6.3449 alpha=90.00 beta=90.00 gamma=120.00
Last column: nearest neighbours and their distance in Å.
Positions (direct):
1 Al 0.0000 0.4088 0.2500  7 Tl 3.10-3.13
2 Al 0.0000 0.5912 0.7500  7 Tl 3.10-3.13
3 Al 0.4088 0.0000 0.2500  7 Tl 3.10-3.13
4 Al 0.4088 0.4088 0.7500  7 Tl 3.10-3.13
5 Al 0.5912 0.0000 0.7500  7 Tl 3.10-3.13
6 Al 0.5912 0.5912 0.2500  7 Tl 3.10-3.13
7 Tl 0.0000 0.2367 0.7500  3 Al 3.12-3.13
8 Tl 0.0000 0.7633 0.2500  3 Al 3.12-3.13
9 Tl 0.2367 0.0000 0.7500  3 Al 3.12-3.13
10 Tl 0.2367 0.2367 0.2500  3 Al 3.12-3.13
11 Tl 0.3333 0.6667 0.0000  6 Al 3.10, 2 Tl 3.17
12 Tl 0.3333 0.6667 0.5000  6 Al 3.10, 2 Tl 3.17
13 Tl 0.6667 0.3333 0.0000  6 Al 3.10, 2 Tl 3.17
14 Tl 0.6667 0.3333 0.5000  6 Al 3.10, 2 Tl 3.17
15 Tl 0.7633 0.0000 0.2500  3 Al 3.12-3.13
16 Tl 0.7633 0.7633 0.7500  3 Al 3.12-3.13

**Energy above the lowest structure with this stoichiometry**: 0.021 eV/atom
**Crystal system**: hexagonal
**Formation energy**: 0.25 eV/atom
**SG**: P6_3/mcm

---

First-principles (PBE-GGA) data for a relaxed BaMnHg2Cl8 crystal, as listed in Alexandria via LeMat-Bulk.

Unit cell a=6.5821 b=6.5821 c=8.3824 alpha=90.00 beta=90.00 gamma=120.00
Last column: nearest neighbours and their distance in Å.
Positions (direct):
1 Ba 0.0000 0.0000 0.0000  12 Cl 3.41-3.80
2 Mn 0.0000 0.0000 0.5000  6 Cl 2.29
3 Hg 0.3333 0.6667 0.6824  4 Cl 2.60-2.68
4 Hg 0.6667 0.3333 0.3176  4 Cl 2.60-2.68
5 Cl 0.0588 0.7512 0.3409  1 Mn 2.29
6 Cl 0.2488 0.3077 0.3409  1 Mn 2.29
7 Cl 0.3077 0.0588 0.6591  1 Mn 2.29
8 Cl 0.3333 0.6667 0.9922  1 Hg 2.60
9 Cl 0.6667 0.3333 0.0078  1 Hg 2.60
10 Cl 0.6923 0.9412 0.3409  1 Mn 2.29
11 Cl 0.7512 0.6923 0.6591  1 Mn 2.29
12 Cl 0.9412 0.2488 0.6591  1 Mn 2.29

**Formation energy (no corrections)**: -998 meV per atom
**Crystal system**: trigonal
**SG**: P-3

---

First-principles (PBE-GGA) data for a relaxed TiVSe3 crystal, as listed in Alexandria via LeMat-Bulk.

Unit cell a=6.9346 b=6.9346 c=6.9346 alpha=54.57 beta=54.57 gamma=54.57
Last column: nearest neighbours and their distance in Å.
Positions (direct):
1 Ti 0.1635 0.1635 0.1635  6 Se 2.58-2.60
2 Ti 0.8365 0.8365 0.8365  6 Se 2.58-2.60
3 V 0.3353 0.3353 0.3353  6 Se 2.55-2.57
4 V 0.6647 0.6647 0.6647  6 Se 2.55-2.57
5 Se 0.0801 0.4204 0.7468  2 V 2.55-2.57, 2 Ti 2.58-2.60
6 Se 0.2532 0.9199 0.5796  2 V 2.55-2.57, 2 Ti 2.58-2.60
7 Se 0.4204 0.7468 0.0801  2 V 2.55-2.57, 2 Ti 2.58-2.60
8 Se 0.5796 0.2532 0.9199  2 V 2.55-2.57, 2 Ti 2.58-2.60
9 Se 0.7468 0.0801 0.4204  2 V 2.55-2.57, 2 Ti 2.58-2.60
10 Se 0.9199 0.5796 0.2532  2 V 2.55-2.57, 2 Ti 2.58-2.60

**Formation energy (no corrections)**: -895 meV per atom
**Energy above the lowest structure with this stoichiometry**: 0.000 eV/atom
**Crystal system**: trigonal
**SG**: R-3

---

First-principles (PBE-GGA) data for a relaxed TbY6Tm12 crystal, as listed in Alexandria via LeMat-Bulk.

Unit cell a=9.2990 b=9.2990 c=9.2990 alpha=108.43 beta=108.43 gamma=108.43
Last column: nearest neighbours and their distance in Å.
Positions (direct):
1 Tb 0.0000 0.0000 0.0000  6 Tm 3.34
2 Y 0.2560 0.6764 0.6764  5 Tm 3.05-3.40
3 Y 0.3236 0.3236 0.7440  5 Tm 3.05-3.40
4 Y 0.3236 0.7440 0.3236  5 Tm 3.05-3.40
5 Y 0.6764 0.2560 0.6764  5 Tm 3.05-3.40
6 Y 0.6764 0.6764 0.2560  5 Tm 3.05-3.40
7 Y 0.7440 0.3236 0.3236  5 Tm 3.05-3.40
8 Tm 0.1087 0.5000 0.8913  5 Tm 3.28-3.61, 4 Y 3.31-3.40
9 Tm 0.1087 0.8913 0.5000  5 Tm 3.28-3.61, 4 Y 3.31-3.40
10 Tm 0.1411 0.3549 0.3549  1 Y 3.05, 2 Tm 3.23, 1 Tb 3.34
11 Tm 0.3549 0.1411 0.3549  1 Y 3.05, 2 Tm 3.23, 1 Tb 3.34
12 Tm 0.3549 0.3549 0.1411  1 Y 3.05, 2 Tm 3.23, 1 Tb 3.34
13 Tm 0.5000 0.1087 0.8913  5 Tm 3.28-3.61, 4 Y 3.31-3.40
14 Tm 0.5000 0.8913 0.1087  5 Tm 3.28-3.61, 4 Y 3.31-3.40
15 Tm 0.6451 0.6451 0.8589  1 Y 3.05, 2 Tm 3.23, 1 Tb 3.34
16 Tm 0.6451 0.8589 0.6451  1 Y 3.05, 2 Tm 3.23, 1 Tb 3.34
17 Tm 0.8589 0.6451 0.6451  1 Y 3.05, 2 Tm 3.23, 1 Tb 3.34
18 Tm 0.8913 0.1087 0.5000  5 Tm 3.28-3.61, 4 Y 3.31-3.40
19 Tm 0.8913 0.5000 0.1087  5 Tm 3.28-3.61, 4 Y 3.31-3.40

**Energy above the lowest structure with this stoichiometry**: 0.273 eV/atom
**Crystal system**: trigonal
**Formation energy**: 0.46 eV/atom
**SG**: R-3m